K2Ge2Rh: optimized geometry, PBE.

a = 6.510 Å, b = 6.510 Å, c = 5.727 Å
α = 90.00°, β = 90.00°, γ = 90.00°
Element x y z (fractional)
K 0.317 0.183 0.500
K 0.817 0.317 0.500
K 0.683 0.817 0.500
K 0.183 0.683 0.500
Ge 0.859 0.641 0.000
Ge 0.641 0.141 0.000
Ge 0.359 0.859 0.000
Ge 0.141 0.359 0.000
Rh 0.000 0.000 0.000
Rh 0.500 0.500 0.000

Properties
Total moment in μB per cell: 0.00
V in Å³/cell: 243
Energy of formation in eV per formula unit: -0.4
Space group: P4/mbm (127)